1.
Density functional theory data (PBE) for a relaxed structure of RbBC.

Cell lengths 3.998, 6.405, 6.445 Å; angles 109.71, 107.95, 90.01 degrees
Sites, in units of the cell vectors:
Rb  0.000  0.000  0.000
Rb  0.306  0.358  0.620
B  0.593  0.483  0.187
B  0.727  0.692  0.459
C  0.608  0.731  0.218
C  0.707  0.920  0.418

Results
ΔH_f (0 K), eV/atom: 0.811
Total magnetic moment, Bohr magnetons per cell: 0.0


2.
Density functional theory data (PBE) for a relaxed structure of RbBC.

Cell lengths 3.200, 5.796, 6.479 Å; angles 66.42, 83.33, 82.35 degrees
Sites, in units of the cell vectors:
Rb  0.000  0.000  0.000
Rb  0.042  0.326  0.406
B  0.322  0.571  0.773
B  0.461  0.767  0.499
C  0.600  0.843  0.677
C  0.801  0.593  0.814

Results
ΔH_f (0 K), eV/atom: 0.744
Total magnetic moment, Bohr magnetons per cell: 0.0


3.
Density functional theory data (PBE) for a relaxed structure of RbBC.

Cell lengths 5.972, 5.972, 4.238 Å; angles 110.37, 110.37, 57.16 degrees
Sites, in units of the cell vectors:
Rb  0.174  0.174  0.177
Rb  0.826  0.826  0.823
B  0.500  0.500  0.190
B  0.500  0.500  0.810
C  0.360  0.640  0.500
C  0.640  0.360  0.500

Results
ΔH_f (0 K), eV/atom: 0.407
Total magnetic moment, Bohr magnetons per cell: 0.8


4.
Density functional theory data (PBE) for a relaxed structure of RbBC.

Cell lengths 6.049, 6.049, 4.080 Å; angles 109.62, 109.62, 107.75 degrees
Sites, in units of the cell vectors:
Rb  0.172  0.828  0.000
Rb  0.828  0.172  0.000
B  0.368  0.368  0.868
B  0.524  0.524  0.359
C  0.524  0.524  0.723
C  0.648  0.648  0.156

Results
ΔH_f (0 K), eV/atom: 0.370
Total magnetic moment, Bohr magnetons per cell: 0.0


5.
Density functional theory data (PBE) for a relaxed structure of RbBC.

Cell lengths 4.445, 4.445, 2.890 Å; angles 90.00, 90.00, 90.00 degrees
Sites, in units of the cell vectors:
Rb  0.000  0.000  0.000
B  0.500  0.500  0.993
C  0.500  0.500  0.493

Results
ΔH_f (0 K), eV/atom: 0.186
Total magnetic moment, Bohr magnetons per cell: 0.0


6.
Density functional theory data (PBE) for a relaxed structure of RbBC.

Cell lengths 3.640, 6.152, 6.152 Å; angles 102.95, 90.00, 90.00 degrees
Sites, in units of the cell vectors:
Rb  0.000  0.205  0.795
Rb  0.000  0.795  0.205
B  0.500  0.296  0.296
B  0.500  0.504  0.504
C  0.500  0.621  0.759
C  0.500  0.759  0.621

Results
ΔH_f (0 K), eV/atom: 0.913
Total magnetic moment, Bohr magnetons per cell: 0.0


7.
Density functional theory data (PBE) for a relaxed structure of RbBC.

Cell lengths 9.613, 2.968, 6.966 Å; angles 90.00, 90.00, 90.00 degrees
Sites, in units of the cell vectors:
Rb  0.181  0.250  0.029
Rb  0.319  0.750  0.529
Rb  0.681  0.250  0.471
Rb  0.819  0.750  0.971
B  0.007  0.250  0.415
B  0.493  0.750  0.915
B  0.507  0.250  0.085
B  0.993  0.750  0.585
C  0.012  0.750  0.340
C  0.488  0.250  0.840
C  0.512  0.750  0.160
C  0.988  0.250  0.660

Results
ΔH_f (0 K), eV/atom: 0.408
Total magnetic moment, Bohr magnetons per cell: 0.0


8.
Density functional theory data (PBE) for a relaxed structure of RbBC.

Cell lengths 6.672, 6.672, 3.605 Å; angles 90.00, 90.00, 133.99 degrees
Sites, in units of the cell vectors:
Rb  0.165  0.835  0.000
Rb  0.835  0.165  0.000
B  0.500  0.500  0.271
B  0.500  0.500  0.729
C  0.393  0.607  0.500
C  0.607  0.393  0.500

Results
ΔH_f (0 K), eV/atom: 0.662
Total magnetic moment, Bohr magnetons per cell: 0.9


9.
Density functional theory data (PBE) for a relaxed structure of Rb3BC.

Cell lengths 6.262, 6.262, 6.262 Å; angles 90.00, 90.00, 90.00 degrees
Sites, in units of the cell vectors:
Rb  0.000  0.000  0.500
Rb  0.000  0.500  0.000
Rb  0.500  0.000  0.000
B  0.000  0.000  0.000
C  0.500  0.500  0.500

Results
ΔH_f (0 K), eV/atom: 1.862
Total magnetic moment, Bohr magnetons per cell: 5.8


10.
Density functional theory data (PBE) for a relaxed structure of RbBC.

Cell lengths 9.914, 9.914, 5.432 Å; angles 90.00, 90.00, 31.79 degrees
Sites, in units of the cell vectors:
Rb  0.121  0.121  0.000
Rb  0.379  0.379  0.500
Rb  0.621  0.621  0.500
Rb  0.879  0.879  0.000
B  0.141  0.859  0.641
B  0.359  0.641  0.141
B  0.641  0.359  0.859
B  0.859  0.141  0.359
C  0.156  0.844  0.344
C  0.344  0.656  0.844
C  0.656  0.344  0.156
C  0.844  0.156  0.656

Results
ΔH_f (0 K), eV/atom: 0.154
Total magnetic moment, Bohr magnetons per cell: 0.6


11.
Density functional theory data (PBE) for a relaxed structure of RbBC.

Cell lengths 5.379, 5.379, 5.672 Å; angles 90.00, 90.00, 120.00 degrees
Sites, in units of the cell vectors:
Rb  0.333  0.667  0.000
Rb  0.667  0.333  0.500
B  0.000  0.000  0.394
B  0.000  0.000  0.894
C  0.000  0.000  0.145
C  0.000  0.000  0.645

Results
ΔH_f (0 K), eV/atom: 0.030
Total magnetic moment, Bohr magnetons per cell: 0.0


12.
Density functional theory data (PBE) for a relaxed structure of RbBC.

Cell lengths 3.057, 3.057, 10.757 Å; angles 90.00, 90.00, 90.00 degrees
Sites, in units of the cell vectors:
Rb  0.250  0.250  0.237
Rb  0.750  0.750  0.763
B  0.250  0.750  0.500
B  0.750  0.250  0.500
C  0.250  0.250  0.576
C  0.750  0.750  0.424

Results
ΔH_f (0 K), eV/atom: 0.679
Total magnetic moment, Bohr magnetons per cell: 0.2


13.
Density functional theory data (PBE) for a relaxed structure of RbBC.

Cell lengths 6.099, 6.099, 9.306 Å; angles 125.29, 125.29, 28.18 degrees
Sites, in units of the cell vectors:
Rb  0.000  0.000  0.000
Rb  0.000  0.000  0.500
B  0.209  0.209  0.418
B  0.791  0.791  0.582
C  0.334  0.334  0.645
C  0.666  0.666  0.355

Results
ΔH_f (0 K), eV/atom: 0.447
Total magnetic moment, Bohr magnetons per cell: 0.0


14.
Density functional theory data (PBE) for a relaxed structure of RbBC.

Cell lengths 10.780, 10.780, 2.707 Å; angles 90.00, 90.00, 163.36 degrees
Sites, in units of the cell vectors:
Rb  0.110  0.890  0.750
Rb  0.890  0.110  0.250
B  0.251  0.749  0.250
B  0.749  0.251  0.750
C  0.490  0.510  0.750
C  0.510  0.490  0.250

Results
ΔH_f (0 K), eV/atom: 1.204
Total magnetic moment, Bohr magnetons per cell: 0.0


15.
Density functional theory data (PBE) for a relaxed structure of RbBC.

Cell lengths 2.937, 2.937, 10.432 Å; angles 90.00, 90.00, 120.00 degrees
Sites, in units of the cell vectors:
Rb  0.000  0.000  0.000
Rb  0.000  0.000  0.500
B  0.333  0.667  0.250
B  0.667  0.333  0.750
C  0.333  0.667  0.750
C  0.667  0.333  0.250

Results
ΔH_f (0 K), eV/atom: 0.508
Total magnetic moment, Bohr magnetons per cell: 0.0


16.
Density functional theory data (PBE) for a relaxed structure of RbBC.

Cell lengths 6.038, 6.038, 11.311 Å; angles 90.00, 90.00, 90.00 degrees
Sites, in units of the cell vectors:
Rb  0.000  0.497  0.000
Rb  0.000  0.503  0.500
Rb  0.497  0.000  0.750
Rb  0.503  0.000  0.250
B  0.499  0.499  0.375
B  0.499  0.501  0.125
B  0.501  0.499  0.625
B  0.501  0.501  0.875
C  0.497  0.500  0.250
C  0.500  0.497  0.500
C  0.500  0.503  0.000
C  0.503  0.500  0.750

Results
ΔH_f (0 K), eV/atom: 0.132
Total magnetic moment, Bohr magnetons per cell: 0.0


17.
Density functional theory data (PBE) for a relaxed structure of RbBC.

Cell lengths 5.280, 5.280, 9.931 Å; angles 103.95, 103.95, 37.16 degrees
Sites, in units of the cell vectors:
Rb  0.062  0.062  0.243
Rb  0.938  0.938  0.757
B  0.288  0.288  0.000
B  0.712  0.712  0.000
C  0.436  0.436  0.000
C  0.564  0.564  0.000

Results
ΔH_f (0 K), eV/atom: 0.283
Total magnetic moment, Bohr magnetons per cell: 0.0


18.
Density functional theory data (PBE) for a relaxed structure of RbBC.

Cell lengths 4.469, 4.919, 6.693 Å; angles 68.46, 87.73, 89.95 degrees
Sites, in units of the cell vectors:
Rb  0.000  0.000  0.000
Rb  0.499  0.718  0.565
B  0.178  0.356  0.287
B  0.523  0.380  0.240
C  0.834  0.351  0.298
C  0.984  0.247  0.499

Results
ΔH_f (0 K), eV/atom: 0.436
Total magnetic moment, Bohr magnetons per cell: 0.0


19.
Density functional theory data (PBE) for a relaxed structure of RbBC.

Cell lengths 5.389, 5.389, 5.706 Å; angles 90.00, 90.00, 120.00 degrees
Sites, in units of the cell vectors:
Rb  0.000  0.000  0.000
Rb  0.333  0.667  0.502
B  0.667  0.333  0.355
B  0.667  0.333  0.632
C  0.667  0.333  0.111
C  0.667  0.333  0.875

Results
ΔH_f (0 K), eV/atom: 0.142
Total magnetic moment, Bohr magnetons per cell: 0.0


20.
Density functional theory data (PBE) for a relaxed structure of Rb2ReBC.

Cell lengths 6.694, 6.694, 4.065 Å; angles 90.00, 90.00, 90.00 degrees
Sites, in units of the cell vectors:
Rb  0.000  0.500  0.000
Rb  0.500  0.000  0.000
Re  0.000  0.000  0.000
B  0.000  0.000  0.500
C  0.500  0.500  0.500

Results
ΔH_f (0 K), eV/atom: 2.189
Total magnetic moment, Bohr magnetons per cell: 5.1